(1)
First-principles (SCAN) data for a crystal of Li3YCd relaxed with PBEsol, as listed in Alexandria.

Cell lengths 4.8568, 4.8568, 4.8568 Å; angles 90.00, 90.00, 90.00 degrees
Closest atoms and distances in Å follow each position.
Sites, in units of the cell vectors:
1 Li 0.0000 0.0000 0.5000  2 Cd 2.43
2 Li 0.0000 0.5000 0.0000  2 Cd 2.43
3 Li 0.5000 0.0000 0.0000  2 Cd 2.43
4 Y 0.5000 0.5000 0.5000  12 Li 3.43
5 Cd 0.0000 0.0000 0.0000  6 Li 2.43

Computed properties:
Spin magnetization in μB/cell: 0.001
DFT formation energy in eV per atom: 0.14
SG: Pm-3m, No. 221


(2)
First-principles (SCAN) data for a crystal of TiBSN2 relaxed with PBEsol, as listed in Alexandria.

Cell lengths 3.2230, 3.2230, 5.2232 Å; angles 90.00, 90.00, 90.00 degrees
Closest atoms and distances in Å follow each position.
Sites, in units of the cell vectors:
1 Ti 0.0000 0.0000 0.0000  4 S 2.28
2 B 0.5000 0.5000 0.5000  4 N 1.61
3 S 0.5000 0.5000 0.0000  4 Ti 2.28
4 N 0.0000 0.5000 0.5000  2 B 1.61
5 N 0.5000 0.0000 0.5000  2 B 1.61

Computed properties:
Spin magnetization in μB/cell: 0.002
Formation energy from raw total energies in eV per atom: 0.505
SG: P4/mmm, No. 123
Offset from the most stable computed form in meV per atom: 0